First-principles (GGA-PBE) data for crystalline V2InGa at its relaxed geometry, as listed in the Alexandria database.

**Energy above the most stable polymorph in this dataset**: 0.00 eV/f.u.
**Raw total energy**: -5.908 eV/atom
**Energy relative to the elements**: 0.093 eV per atom

a = 3.8991 Å, b = 3.8991 Å, c = 4.1445 Å
α = 90.00°, β = 90.00°, γ = 90.00°
Last column: nearest neighbours and their distance in Å.
Space group P4/mmm (No. 123)
Unique sites:
V 0.0000 0.5000 0.0000 (multiplicity 2)  4 V 2.76, 4 In 2.85, 4 Ga 2.85
In 0.0000 0.0000 0.5000 (multiplicity 1)  4 Ga 2.76, 8 V 2.85
Ga 0.5000 0.5000 0.5000 (multiplicity 1)  4 In 2.76, 8 V 2.85